(i)
VASP calculation (GGA-PBE) on a geometry-optimized Pm4Tm3Se8 structure.

Output
Total magnetic moment ... 0.00 μB per formula unit

Geometry as POSCAR:
```
Pm4Tm3Se8
1.0
4.0330 2.3284 7.6235
-4.0330 2.3284 7.6235
0.0000 -4.6569 7.6235
Pm Tm Se
4 3 8
Direct
0.0000 0.0000 0.0000 Pm
0.1462 0.1462 0.1462 Pm
0.5000 0.5000 0.5000 Pm
0.8538 0.8538 0.8538 Pm
0.0000 0.5000 0.5000 Tm
0.5000 0.0000 0.5000 Tm
0.5000 0.5000 0.0000 Tm
0.2497 0.2497 0.7344 Se
0.2497 0.7344 0.2497 Se
0.2656 0.7503 0.7503 Se
0.2692 0.2692 0.2692 Se
0.7308 0.7308 0.7308 Se
0.7344 0.2497 0.2497 Se
0.7503 0.2656 0.7503 Se
0.7503 0.7503 0.2656 Se
```

---

(ii)
VASP calculation (GGA-PBE) on a geometry-optimized Pm4Tm3Se8 structure.

Output
Total magnetic moment ... 0.00 μB per formula unit

Geometry as POSCAR:
```
Pm4Tm3Se8
1.0
5.7961 -5.8010 0.0000
5.7961 5.8010 0.0000
-5.7884 0.0000 5.8056
Pm Tm Se
4 3 8
Direct
0.0000 0.0000 0.0000 Pm
0.0000 0.5000 0.0000 Pm
0.5000 0.0000 0.0000 Pm
0.5000 0.5000 0.5000 Pm
0.0000 0.5000 0.5000 Tm
0.5000 0.0000 0.5000 Tm
0.5000 0.5000 0.0000 Tm
0.2429 0.7571 0.5000 Se
0.2479 0.2479 0.5104 Se
0.2487 0.2487 0.9866 Se
0.2552 0.7448 0.0000 Se
0.7448 0.2552 0.0000 Se
0.7513 0.7513 0.0134 Se
0.7521 0.7521 0.4896 Se
0.7571 0.2429 0.5000 Se
```

---

It is (ii) that is the most stable of them.

---

(i)
VASP calculation (GGA-PBE) on a geometry-optimized Pm4TmSe5 structure.

Output
Total magnetic moment ... 0.00 μB per formula unit

Geometry as POSCAR:
```
Pm4TmSe5
1.0
-2.0766 2.0766 14.7990
2.0766 -2.0766 14.7990
2.0766 2.0766 -14.7990
Pm Tm Se
4 1 5
Direct
0.1023 0.1023 0.0000 Pm
0.3055 0.3055 0.0000 Pm
0.6945 0.6945 0.0000 Pm
0.8977 0.8977 0.0000 Pm
0.5000 0.5000 0.0000 Tm
0.0000 0.0000 0.0000 Se
0.2031 0.2031 0.0000 Se
0.4050 0.4050 0.0000 Se
0.5950 0.5950 0.0000 Se
0.7969 0.7969 0.0000 Se
```

---

(ii)
VASP calculation (GGA-PBE) on a geometry-optimized Pm4TmSe5 structure.

Output
Total magnetic moment ... 0.00 μB per formula unit

Geometry as POSCAR:
```
Pm4TmSe5
1.0
2.0783 1.1999 17.0323
-2.0783 1.1999 17.0323
0.0000 -2.3999 17.0323
Pm Tm Se
4 1 5
Direct
0.1014 0.1014 0.1014 Pm
0.2992 0.2992 0.2992 Pm
0.7008 0.7008 0.7008 Pm
0.8986 0.8986 0.8986 Pm
0.5000 0.5000 0.5000 Tm
0.0000 0.0000 0.0000 Se
0.1970 0.1970 0.1970 Se
0.4012 0.4012 0.4012 Se
0.5988 0.5988 0.5988 Se
0.8030 0.8030 0.8030 Se
```

---

It is (ii) that is the most stable of them.

---

(i)
VASP calculation (GGA-PBE) on a geometry-optimized PmUSe3 structure.

Output
Total magnetic moment ... 2.34 μB per formula unit

Geometry as POSCAR:
```
PmUSe3
1.0
3.5426 -8.5424 0.0000
3.5426 8.5424 0.0000
0.0000 0.0000 5.4562
Pm U Se
2 2 6
Direct
0.2172 0.7828 0.0000 Pm
0.7828 0.2172 0.0000 Pm
0.3845 0.6155 0.5000 U
0.6155 0.3845 0.5000 U
0.0000 0.5000 0.5000 Se
0.2354 0.2354 0.5000 Se
0.3785 0.6215 0.0000 Se
0.5000 0.0000 0.5000 Se
0.6215 0.3785 0.0000 Se
0.7646 0.7646 0.5000 Se
```

---

(ii)
VASP calculation (GGA-PBE) on a geometry-optimized PmUSe3 structure.

Output
Total magnetic moment ... 2.82 μB per formula unit

Geometry as POSCAR:
```
PmUSe3
1.0
7.8007 0.0000 0.0000
0.0000 4.0929 0.0000
0.0000 0.0000 16.1146
Pm U Se
4 4 12
Direct
0.1110 0.2500 0.2061 Pm
0.3890 0.7500 0.7061 Pm
0.6110 0.2500 0.2939 Pm
0.8890 0.7500 0.7939 Pm
0.2346 0.7500 0.4615 U
0.2654 0.2500 0.9615 U
0.7346 0.7500 0.0385 U
0.7654 0.2500 0.5385 U
0.0068 0.2500 0.3967 Se
0.1212 0.7500 0.0687 Se
0.1690 0.2500 0.7824 Se
0.3310 0.7500 0.2824 Se
0.3788 0.2500 0.5687 Se
0.4932 0.7500 0.8967 Se
0.5068 0.2500 0.1033 Se
0.6212 0.7500 0.4313 Se
0.6690 0.2500 0.7176 Se
0.8310 0.7500 0.2176 Se
0.8788 0.2500 0.9313 Se
0.9932 0.7500 0.6033 Se
```

---

It is (ii) that is the most stable of them.

---

(i)
VASP calculation (GGA-PBE) on a geometry-optimized Pm2U3Se8 structure.

Output
Total magnetic moment ... 8.00 μB per formula unit

Geometry as POSCAR:
```
Pm2U3Se8
1.0
4.9322 -7.0966 0.0000
4.9322 7.0966 0.0000
0.0000 0.0000 4.9700
Pm U Se
2 3 8
Direct
0.2330 0.7670 0.0000 Pm
0.7670 0.2330 0.0000 Pm
0.2352 0.2352 0.5000 U
0.5000 0.5000 0.0000 U
0.7648 0.7648 0.5000 U
0.1243 0.8757 0.5000 Se
0.1407 0.3826 0.0000 Se
0.3826 0.1407 0.0000 Se
0.3855 0.6145 0.5000 Se
0.6145 0.3855 0.5000 Se
0.6174 0.8593 0.0000 Se
0.8593 0.6174 0.0000 Se
0.8757 0.1243 0.5000 Se
```

---

(ii)
VASP calculation (GGA-PBE) on a geometry-optimized Pm2U3Se8 structure.

Output
Total magnetic moment ... 2.51 μB per formula unit

Geometry as POSCAR:
```
Pm2U3Se8
1.0
7.4008 -4.1115 0.0000
7.4008 4.1115 0.0000
-2.2995 0.0000 6.6840
Pm U Se
2 3 8
Direct
0.2418 0.2418 0.1672 Pm
0.7582 0.7582 0.8328 Pm
0.2409 0.7591 0.5000 U
0.5000 0.5000 0.0000 U
0.7591 0.2409 0.5000 U
0.1155 0.1155 0.4099 Se
0.1376 0.6160 0.0896 Se
0.3838 0.3838 0.5803 Se
0.3840 0.8624 0.9104 Se
0.6160 0.1376 0.0896 Se
0.6162 0.6162 0.4197 Se
0.8624 0.3840 0.9104 Se
0.8845 0.8845 0.5901 Se
```

---

It is (i) that is the most stable of them.

---

(i)
VASP calculation (GGA-PBE) on a geometry-optimized PmUSe2 structure.

Output
Total magnetic moment ... 2.90 μB per formula unit

Geometry as POSCAR:
```
PmUSe2
1.0
2.0353 1.1751 6.9472
-2.0353 1.1751 6.9472
0.0000 -2.3501 6.9472
Pm U Se
1 1 2
Direct
0.0000 0.0000 0.0000 Pm
0.5000 0.5000 0.5000 U
0.2478 0.2478 0.2478 Se
0.7522 0.7522 0.7522 Se
```

---

(ii)
VASP calculation (GGA-PBE) on a geometry-optimized PmUSe2 structure.

Output
Total magnetic moment ... 2.95 μB per formula unit

Geometry as POSCAR:
```
PmUSe2
1.0
1.9798 -11.9872 0.0000
1.9798 11.9872 0.0000
0.0000 0.0000 4.2463
Pm U Se
2 2 4
Direct
0.0733 0.9267 0.7500 Pm
0.9267 0.0733 0.2500 Pm
0.3123 0.6877 0.7500 U
0.6877 0.3123 0.2500 U
0.1922 0.8078 0.7500 Se
0.4378 0.5622 0.7500 Se
0.5622 0.4378 0.2500 Se
0.8078 0.1922 0.2500 Se
```

---

It is (i) that is the most stable of them.

---

(i)
VASP calculation (GGA-PBE) on a geometry-optimized Pm2Y3Se6 structure.

Output
Total magnetic moment ... 0.00 μB per formula unit

Geometry as POSCAR:
```
Pm2Y3Se6
1.0
2.0904 1.2069 20.1542
-2.0904 1.2069 20.1542
0.0000 -2.4138 20.1542
Pm Y Se
2 3 6
Direct
0.0539 0.0539 0.0539 Pm
0.9461 0.9461 0.9461 Pm
0.2196 0.2196 0.2196 Y
0.5000 0.5000 0.5000 Y
0.7804 0.7804 0.7804 Y
0.1399 0.1399 0.1399 Se
0.3036 0.3036 0.3036 Se
0.4193 0.4193 0.4193 Se
0.5807 0.5807 0.5807 Se
0.6964 0.6964 0.6964 Se
0.8601 0.8601 0.8601 Se
```

---

(ii)
VASP calculation (GGA-PBE) on a geometry-optimized Pm2Y3Se6 structure.

Output
Total magnetic moment ... 0.00 μB per formula unit

Geometry as POSCAR:
```
Pm2Y3Se6
1.0
3.5687 -6.1534 0.0000
3.5687 6.1534 0.0000
-2.3731 0.0000 6.7328
Pm Y Se
2 3 6
Direct
0.1651 0.8349 0.0000 Pm
0.8349 0.1651 0.0000 Pm
0.0000 0.0000 0.5000 Y
0.3344 0.6656 0.5000 Y
0.6656 0.3344 0.5000 Y
0.0871 0.4150 0.7445 Se
0.2582 0.2582 0.2524 Se
0.4150 0.0871 0.7445 Se
0.5850 0.9129 0.2555 Se
0.7418 0.7418 0.7476 Se
0.9129 0.5850 0.2555 Se
```

---

It is (ii) that is the most stable of them.